1.
Entry from Alexandria: an optimized crystal structure of MgNb3 (PBE).

a b c (Å): 4.200 4.200 4.200
angles (deg): 90.00 90.00 90.00
Fractional coordinates of all 4 atoms:
Mg: 0.000 0.000 0.000
Nb: 0.500 0.500 0.000
Nb: 0.500 0.000 0.500
Nb: 0.000 0.500 0.500

* energy of formation: 5.5 kcal/mol of atoms
* total magnetization: 0.001 μB per formula unit

=====

2.
Entry from Alexandria: an optimized crystal structure of PaZnAu (PBE).

a b c (Å): 3.196 4.678 4.678
angles (deg): 120.00 90.00 90.00
Fractional coordinates of all 3 atoms:
Zn: 0.167 0.667 0.333
Pa: 0.667 0.333 0.667
Au: 0.167 0.000 0.000

* energy of formation: -7.6 kcal/mol of atoms
* total magnetization: 0.007 μB per formula unit

=====

Repeat the second record exactly.
Entry from Alexandria: an optimized crystal structure of PaZnAu (PBE).

a b c (Å): 3.196 4.678 4.678
angles (deg): 120.00 90.00 90.00
Fractional coordinates of all 3 atoms:
Zn: 0.167 0.667 0.333
Pa: 0.667 0.333 0.667
Au: 0.167 0.000 0.000

* energy of formation: -7.6 kcal/mol of atoms
* total magnetization: 0.007 μB per formula unit

=====

energy of formation of number 2 (PaZnAu)?
-7.6 kcal/mol of atoms

=====

Copy entry 2 word for word.
Entry from Alexandria: an optimized crystal structure of PaZnAu (PBE).

a b c (Å): 3.196 4.678 4.678
angles (deg): 120.00 90.00 90.00
Fractional coordinates of all 3 atoms:
Zn: 0.167 0.667 0.333
Pa: 0.667 0.333 0.667
Au: 0.167 0.000 0.000

* energy of formation: -7.6 kcal/mol of atoms
* total magnetization: 0.007 μB per formula unit

=====

Look up the total magnetization of the first one.
0.001 μB per formula unit